# TbDyCd4

A geometry-optimized TbDyCd4 structure (GGA-PBE, Alexandria).

Results
density of states at the Fermi level	0.689	states/eV per atom
crystal system	monoclinic

Cell lengths 3.429, 8.633, 4.979 Å; angles 90.00, 90.12, 90.00 degrees
Sites, in units of the cell vectors:
Tb 0.000 0.000 0.000
Dy 0.000 0.500 0.500
Cd 0.500 0.167 0.500
Cd 0.500 0.334 0.000
Cd 0.500 0.666 0.000
Cd 0.500 0.833 0.500

# Be2Ge2Pd

A geometry-optimized Be2Ge2Pd structure (GGA-PBE, Alexandria).

Results
density of states at the Fermi level	0.190	states/eV per atom
crystal system	tetragonal

Cell lengths 5.935, 5.935, 5.935 Å; angles 144.21, 144.21, 51.51 degrees
Sites, in units of the cell vectors:
Be 0.250 0.750 0.500
Be 0.750 0.250 0.500
Ge 0.114 0.114 0.000
Ge 0.886 0.886 0.000
Pd 0.500 0.500 0.000

# MgCd2Pb8

A geometry-optimized MgCd2Pb8 structure (GGA-PBE, Alexandria).

Results
density of states at the Fermi level	0.383	states/eV per atom
crystal system	orthorhombic

Cell lengths 8.285, 8.285, 5.010 Å; angles 90.00, 90.00, 104.63 degrees
Sites, in units of the cell vectors:
Mg 0.000 0.000 0.000
Cd 0.386 0.614 0.500
Cd 0.614 0.386 0.500
Pb 0.042 0.307 0.500
Pb 0.246 0.754 0.000
Pb 0.307 0.042 0.500
Pb 0.330 0.330 0.000
Pb 0.670 0.670 0.000
Pb 0.693 0.958 0.500
Pb 0.754 0.246 0.000
Pb 0.958 0.693 0.500

# AcAl6Ir

A geometry-optimized AcAl6Ir structure (GGA-PBE, Alexandria).

Results
density of states at the Fermi level	0.210	states/eV per atom
crystal system	trigonal

Cell lengths 9.653, 9.653, 9.653 Å; angles 26.45, 26.45, 26.45 degrees
Sites, in units of the cell vectors:
Ac 0.000 0.000 0.000
Al 0.136 0.136 0.136
Al 0.242 0.242 0.242
Al 0.409 0.409 0.409
Al 0.591 0.591 0.591
Al 0.758 0.758 0.758
Al 0.864 0.864 0.864
Ir 0.500 0.500 0.500

# MgZrAl3

A geometry-optimized MgZrAl3 structure (GGA-PBE, Alexandria).

Results
density of states at the Fermi level	0.893	states/eV per atom
crystal system	cubic

Cell lengths 5.209, 5.209, 5.209 Å; angles 90.00, 90.00, 90.00 degrees
Sites, in units of the cell vectors:
Mg 0.000 0.000 0.000
Zr 0.500 0.500 0.500
Al 0.000 0.500 0.500
Al 0.500 0.000 0.500
Al 0.500 0.500 0.000

# ZrTl2P

A geometry-optimized ZrTl2P structure (GGA-PBE, Alexandria).

Results
density of states at the Fermi level	0.723	states/eV per atom
crystal system	tetragonal

Cell lengths 6.428, 6.428, 6.428 Å; angles 101.48, 101.48, 127.00 degrees
Sites, in units of the cell vectors:
Zr 0.000 0.000 0.000
Zr 0.750 0.250 0.500
Tl 0.152 0.625 0.027
Tl 0.375 0.402 0.527
Tl 0.598 0.125 0.973
Tl 0.875 0.848 0.473
P 0.250 0.750 0.500
P 0.500 0.500 0.000

Number 1: ρ 8.69 g/cm³, E_form -0.319 eV/atom, magnetization 0.00 μB per formula unit. Number 2: ρ 6.30 g/cm³, E_form 0.258 eV/atom, magnetization 0.00 μB per formula unit. Number 3: ρ 9.52 g/cm³, E_form 0.056 eV/atom, magnetization 0.00 μB per formula unit. Number 4: ρ 6.14 g/cm³, E_form -0.310 eV/atom, magnetization 0.00 μB per formula unit. Number 5: ρ 2.31 g/cm³, E_form 0.835 eV/atom, magnetization 0.00 μB per formula unit. Number 6: ρ 9.29 g/cm³, E_form 0.237 eV/atom, magnetization 0.00 μB per formula unit.